The following is a DFT calculation (GGA+U) of crystalline NaCoS2O6 at its relaxed geometry.

Lattice parameters (Å, degrees): 5.035 5.035 6.513 67.26 67.26 60.00
Fractional positions:
O 0.508 0.264 0.291
O 0.264 0.937 0.291
O 0.063 0.492 0.709
O 0.937 0.508 0.291
O 0.492 0.736 0.709
O 0.736 0.063 0.709
S 0.265 0.265 0.206
S 0.735 0.735 0.794
Co 0.500 0.500 0.500
Na 0.000 0.000 0.000

Calculated values
As for the density of states at the Fermi level: 0.088 states/eV/atom. The uncorrected energy is -56.8 eV for the cell shown. As for the symmetry: R-3 (148).